# 1
Compound: AlSiTc2
Source: Alexandria via LeMat-Bulk
Functional: PBE-GGA
Structure: relaxed

Calculated values
E above lowest polymorph	0.31	eV/f.u.
space-group type	No. 44
raw formation energy	-0.330	eV per atom

Unit cell a=5.1553 b=5.1553 c=5.1553 alpha=145.39 beta=133.77 gamma=59.01
Last column: nearest neighbours and their distance in Å.
Atoms (fractional coordinates):
Si: 0.2305 0.7305 0.5000  6 Tc 2.54-2.55
Tc: 0.7592 0.2592 0.5000  4 Si 2.55, 2 Tc 2.69, 2 Al 2.75
Tc: 0.0051 0.0051 0.0000  2 Si 2.54, 4 Al 2.54, 2 Tc 2.69
Al: 0.5052 0.5052 0.0000  6 Tc 2.54-2.75



# 2
Compound: AlSiTc2
Source: Alexandria via LeMat-Bulk
Functional: PBE-GGA
Structure: relaxed

Calculated values
E above lowest polymorph	0.25	eV/f.u.
space-group type	No. 8
raw formation energy	-0.345	eV per atom

Unit cell a=4.7856 b=4.7856 c=4.3095 alpha=73.44 beta=73.44 gamma=36.14
Last column: nearest neighbours and their distance in Å.
Atoms (fractional coordinates):
Si: 0.2592 0.2592 0.2061  7 Tc 2.56-2.66, 2 Al 2.82
Tc: 0.7460 0.7460 0.7101  3 Al 2.60-2.63, 4 Si 2.60-2.63, 2 Tc 2.72
Tc: 0.9988 0.9988 0.0456  3 Si 2.56-2.66, 4 Al 2.58-2.65, 2 Tc 2.72
Al: 0.4959 0.4959 0.5381  7 Tc 2.58-2.65, 2 Si 2.82



# 3
Compound: AlSiTc2
Source: Alexandria via LeMat-Bulk
Functional: PBE-GGA
Structure: relaxed

Calculated values
E above lowest polymorph	0.13	eV/f.u.
space-group type	No. 38
raw formation energy	-0.374	eV per atom

Unit cell a=4.0823 b=3.0412 c=4.7404 alpha=71.34 beta=90.00 gamma=90.00
Last column: nearest neighbours and their distance in Å.
Atoms (fractional coordinates):
Tc: 0.5000 0.2617 0.3508  3 Si 2.45-2.54, 4 Al 2.58
Tc: 0.0000 0.9885 0.8998  3 Al 2.45-2.55, 4 Si 2.58
Si: 0.5000 0.5350 0.8041  7 Tc 2.45-2.58, 2 Al 2.60
Al: 0.0000 0.7149 0.4453  7 Tc 2.45-2.58, 2 Si 2.60



# 4
Compound: AlSiTc2
Source: Alexandria via LeMat-Bulk
Functional: PBE-GGA
Structure: relaxed

Calculated values
E above lowest polymorph	0.93	eV/f.u.
space-group type	No. 119
raw formation energy	-0.175	eV per atom

Unit cell a=4.8573 b=4.8573 c=4.8573 alpha=135.31 beta=135.31 gamma=65.05
Last column: nearest neighbours and their distance in Å.
Atoms (fractional coordinates):
Tc: 0.2500 0.7500 0.5000  4 Si 2.61, 4 Tc 2.76, 4 Al 2.76
Tc: 0.0000 0.0000 0.0000  4 Al 2.61, 4 Si 2.76, 4 Tc 2.76
Si: 0.7500 0.2500 0.5000  8 Tc 2.61-2.76, 4 Al 2.76
Al: 0.5000 0.5000 0.0000  8 Tc 2.61-2.76, 4 Si 2.76



# 5
Compound: Al2SiTc
Source: Alexandria via LeMat-Bulk
Functional: PBE-GGA
Structure: relaxed

Calculated values
space-group type	No. 166
raw formation energy	-0.003	eV per atom

Unit cell a=8.3356 b=8.3356 c=8.3356 alpha=20.18 beta=20.18 gamma=20.18
Last column: nearest neighbours and their distance in Å.
Atoms (fractional coordinates):
Al: 0.4976 0.4976 0.4976  3 Tc 2.60, 3 Si 2.69
Al: 0.0024 0.0024 0.0024  3 Tc 2.60, 3 Si 2.69
Si: 0.2500 0.2500 0.2500  6 Al 2.69, 6 Si 2.92
Tc: 0.7500 0.7500 0.7500  6 Al 2.60



# 6
Compound: Al2SiTc
Source: Alexandria via LeMat-Bulk
Functional: PBE-GGA
Structure: relaxed

Calculated values
space-group type	No. 160
raw formation energy	-0.115	eV per atom

Unit cell a=8.4134 b=8.4134 c=8.4134 alpha=20.00 beta=20.00 gamma=20.00
Last column: nearest neighbours and their distance in Å.
Atoms (fractional coordinates):
Al: 0.2468 0.2468 0.2468  3 Si 2.73, 9 Al 2.83-2.92
Al: 0.0055 0.0055 0.0055  3 Tc 2.65, 9 Al 2.83-2.92
Si: 0.4931 0.4931 0.4931  3 Tc 2.45, 3 Al 2.73
Tc: 0.7546 0.7546 0.7546  3 Si 2.45, 3 Al 2.65



# 7
Compound: AlSi4Tc
Source: Alexandria via LeMat-Bulk
Functional: PBE-GGA
Structure: relaxed

Calculated values
space-group type	No. 216
raw formation energy	0.422	eV per atom

Unit cell a=4.9340 b=4.9340 c=4.9340 alpha=60.00 beta=60.00 gamma=60.00
Last column: nearest neighbours and their distance in Å.
Atoms (fractional coordinates):
Si: 0.3751 0.3751 0.8746  6 Si 2.46-2.47
Si: 0.3751 0.8746 0.3751  6 Si 2.46-2.47
Si: 0.3751 0.3751 0.3751  6 Si 2.46-2.47
Si: 0.8746 0.3751 0.3751  6 Si 2.46-2.47
Al: 0.0000 0.0000 0.0000  12 Si 2.89, 4 Tc 3.02
Tc: 0.7500 0.7500 0.7500  12 Si 2.89, 4 Al 3.02



# 8
Compound: Al2SiTc
Source: Alexandria via LeMat-Bulk
Functional: PBE-GGA
Structure: relaxed

Calculated values
space-group type	No. 123
raw formation energy	0.015	eV per atom

Unit cell a=2.7773 b=2.7781 c=7.7206 alpha=90.00 beta=90.00 gamma=89.95
Last column: nearest neighbours and their distance in Å.
Atoms (fractional coordinates):
Si: 0.5000 0.5000 0.2500  4 Si 2.78, 8 Al 2.81
Tc: 0.5000 0.5000 0.7500  8 Al 2.70, 4 Tc 2.78
Al: 0.0000 0.0000 0.5105  4 Tc 2.70, 4 Al 2.78, 4 Si 2.81
Al: 0.0000 0.0000 0.9895  4 Tc 2.70, 4 Al 2.78, 4 Si 2.81



# 9
Compound: AlSiTc2
Source: Alexandria via LeMat-Bulk
Functional: PBE-GGA
Structure: relaxed

Calculated values
E above lowest polymorph	0.08	eV/f.u.
space-group type	No. 123
raw formation energy	-0.386	eV per atom

Unit cell a=2.9936 b=2.9936 c=6.1062 alpha=90.00 beta=90.00 gamma=90.00
Last column: nearest neighbours and their distance in Å.
Atoms (fractional coordinates):
Si: 0.5000 0.5000 0.7500  8 Tc 2.54
Al: 0.5000 0.5000 0.2500  8 Tc 2.68, 4 Al 2.99
Tc: 0.0000 0.0000 0.5201  4 Si 2.54, 4 Al 2.68, 1 Tc 2.81
Tc: 0.0000 0.0000 0.9799  4 Si 2.54, 4 Al 2.68, 1 Tc 2.81



# 10
Compound: Al6SiTc
Source: Alexandria via LeMat-Bulk
Functional: PBE-GGA
Structure: relaxed

Calculated values
space-group type	No. 12
raw formation energy	0.014	eV per atom

Unit cell a=4.5111 b=4.5111 c=7.3369 alpha=93.94 beta=93.94 gamma=111.52
Last column: nearest neighbours and their distance in Å.
Atoms (fractional coordinates):
Tc: 0.5000 0.5000 0.5000  10 Al 2.53-2.76
Al: 0.2851 0.9242 0.3327  2 Tc 2.60-2.76, 6 Al 2.67-2.90, 1 Si 2.78
Al: 0.5923 0.5923 0.1692  1 Tc 2.53, 1 Si 2.54, 3 Al 2.54-2.67
Al: 0.7149 0.0758 0.6673  2 Tc 2.60-2.76, 6 Al 2.67-2.90, 1 Si 2.78
Al: 0.9242 0.2851 0.3327  2 Tc 2.60-2.76, 6 Al 2.67-2.90, 1 Si 2.78
Al: 0.4077 0.4077 0.8308  1 Tc 2.53, 1 Si 2.54, 3 Al 2.54-2.67
Al: 0.0758 0.7149 0.6673  2 Tc 2.60-2.76, 6 Al 2.67-2.90, 1 Si 2.78
Si: 0.0000 0.0000 0.0000  6 Al 2.54-2.78



# 11
Compound: AlSiTc2
Source: Alexandria via LeMat-Bulk
Functional: PBE-GGA
Structure: relaxed

Calculated values
E above lowest polymorph	1.02	eV/f.u.
space-group type	No. 160
raw formation energy	-0.150	eV per atom

Unit cell a=8.5021 b=8.5021 c=8.5021 alpha=19.28 beta=19.28 gamma=19.28
Last column: nearest neighbours and their distance in Å.
Atoms (fractional coordinates):
Al: 0.5018 0.5018 0.5018  3 Tc 2.65, 3 Si 2.79, 6 Al 2.85
Tc: 0.0016 0.0016 0.0016  3 Si 2.53, 3 Tc 2.65
Tc: 0.2517 0.2517 0.2517  3 Al 2.65, 9 Tc 2.65-2.85
Si: 0.7449 0.7449 0.7449  3 Tc 2.53, 3 Al 2.79



# 12
Compound: Al4SiTc
Source: Alexandria via LeMat-Bulk
Functional: PBE-GGA
Structure: relaxed

Calculated values
space-group type	No. 216
raw formation energy	0.171	eV per atom

Unit cell a=5.0484 b=5.0484 c=5.0484 alpha=60.00 beta=60.00 gamma=60.00
Last column: nearest neighbours and their distance in Å.
Atoms (fractional coordinates):
Al: 0.3740 0.3740 0.3740  6 Al 2.50-2.54
Al: 0.3740 0.3740 0.8780  6 Al 2.50-2.54
Al: 0.8780 0.3740 0.3740  6 Al 2.50-2.54
Al: 0.3740 0.8780 0.3740  6 Al 2.50-2.54
Si: 0.7500 0.7500 0.7500  12 Al 2.96, 4 Tc 3.09
Tc: 0.0000 0.0000 0.0000  12 Al 2.96, 4 Si 3.09



# 13
Compound: AlSiTc2
Source: Alexandria via LeMat-Bulk
Functional: PBE-GGA
Structure: relaxed

Calculated values
E above lowest polymorph	0.21	eV/f.u.
space-group type	No. 225
raw formation energy	-0.353	eV per atom

Unit cell a=4.2442 b=4.2442 c=4.2442 alpha=60.00 beta=60.00 gamma=60.00
Last column: nearest neighbours and their distance in Å.
Atoms (fractional coordinates):
Tc: 0.7500 0.7500 0.7500  4 Al 2.60, 4 Si 2.60
Tc: 0.2500 0.2500 0.2500  4 Si 2.60, 4 Al 2.60
Al: 0.0000 0.0000 0.0000  8 Tc 2.60
Si: 0.5000 0.5000 0.5000  8 Tc 2.60